Record 1
The following is a PBE calculation of a relaxed NbTc crystal, from Alexandria via LeMat-Bulk.

Cell and atoms, written as POSCAR:
```
NbTc
1.0
5.236 0.000 0.000
0.000 5.236 0.000
0.000 0.000 5.218
Nb Tc
4 4
Direct
0.210 0.210 0.000
0.290 0.710 0.500
0.710 0.290 0.500
0.790 0.790 0.000
0.206 0.206 0.500
0.294 0.706 0.000
0.706 0.294 0.000
0.794 0.794 0.500
```

VASP energy ... -9.60 eV/atom
Magnetic moment ... 0.00 Bohr magnetons per cell

Record 2
The following is a PBE calculation of a relaxed CoNiBiRu2 crystal, from Alexandria via LeMat-Bulk.

Cell and atoms, written as POSCAR:
```
CoNiBiRu2
1.0
4.552 0.000 0.000
0.000 4.552 0.000
0.000 0.000 4.307
Co Ni Bi Ru
1 1 1 2
Direct
0.000 0.000 0.000
0.000 0.000 0.500
0.500 0.500 0.000
0.000 0.500 0.500
0.500 0.000 0.500
```

VASP energy ... -6.00 eV/atom
Magnetic moment ... 4.71 Bohr magnetons per cell

Record 3
The following is a PBE calculation of a relaxed LuTaGa2 crystal, from Alexandria via LeMat-Bulk.

Cell and atoms, written as POSCAR:
```
LuTaGa2
1.0
3.503 0.000 0.000
0.000 3.503 0.000
0.000 0.000 6.149
Lu Ta Ga
1 1 2
Direct
0.000 0.000 0.000
0.000 0.000 0.500
0.500 0.500 0.285
0.500 0.500 0.715
```

E above lowest polymorph ... 0.0 kJ/mol of atoms
VASP energy ... -5.83 eV/atom
Magnetic moment ... 0.00 Bohr magnetons per cell

Record-wise DOS at the Fermi energy values, in states/eV/cell: 9.00; 6.22; 2.18